Material: VOF2
Method: DFT, PBE with a Hubbard U
State: optimized geometry

Calculated values
* calculated total energy: -103.8 eV/cell

Structure (CIF):
```
data_VOF2
_chemical_formula_sum 'V4 O4 F8'
_symmetry_space_group_name_H-M 'P 1 21/c 1'
_symmetry_Int_Tables_number 14
_cell_length_a 5.401
_cell_length_b 5.330
_cell_length_c 7.437
_cell_angle_alpha 90.00
_cell_angle_beta 92.06
_cell_angle_gamma 90.00
loop_
_symmetry_equiv_pos_as_xyz
'x,y,z'
'-x,-y,-z'
'-x,y+1/2,-z+1/2'
'x,-y+1/2,z+1/2'
loop_
_atom_site_label
_atom_site_fract_x
_atom_site_fract_y
_atom_site_fract_z
V1 0.250 0.238 0.220
O1 0.250 0.198 0.997
F1 0.060 0.563 0.780
F2 0.442 0.554 0.220
```